First-principles (GGA-PBE) data for LiCa3P after structural relaxation, as listed in the Alexandria database.

The structure belongs to space group Cm (No. 8); the cell edges are 14.403, 4.120 and 11.792 Å and the angles 90.00°, 120.58° and 90.00°. The inequivalent atoms are Li at (0.000, 0.000, 0.000), Li at (0.167, 0.000, 0.316), Ca at (0.040, 0.000, 0.488), Ca at (0.083, 0.500, 0.815), Ca at (0.239, 0.500, 0.179), Ca at (0.303, 0.000, 0.822), Ca at (0.322, 0.500, 0.539), Ca at (0.449, 0.000, 0.180), P at (0.318, 0.500, 0.998) and P at (0.366, 0.000, 0.378).

***

First-principles (GGA-PBE) data for LiCaP2 after structural relaxation, as listed in the Alexandria database.

The structure belongs to space group P4/mmm (No. 123); the cell edges are 3.050, 3.050 and 7.781 Å and the angles 90.00°, 90.00° and 90.00°. The inequivalent atoms are Li at (0.000, 0.000, 0.000), Ca at (0.000, 0.000, 0.500) and P at (0.500, 0.500, 0.235).

***

First-principles (GGA-PBE) data for LiCaP2 after structural relaxation, as listed in the Alexandria database.

The structure belongs to space group R-3m (No. 166, hexagonal axes); the cell edges are 3.3571, 3.3571 and 24.1333 Å and the angles 90.00°, 90.00° and 120.00°. The inequivalent atoms are Li at (0.0000, 0.0000, 0.0000), Ca at (0.0000, 0.0000, 0.5000) and P at (0.0000, 0.0000, 0.2559).

***

First-principles (GGA-PBE) data for LiCa3P after structural relaxation, as listed in the Alexandria database.

The structure belongs to space group Pmmn (No. 59, origin choice 2); the cell edges are 4.455, 7.216 and 9.561 Å and the angles 90.00°, 90.00° and 90.00°. The inequivalent atoms are Li at (0.250, 0.250, 0.139), Ca at (0.250, 0.501, 0.649), Ca at (0.250, 0.750, 0.093) and P at (0.250, 0.750, 0.402).

***

no.,total DFT energy (no corrections) (Ha/atom),DFT formation energy (eV/atom),energy above the most stable polymorph in this dataset (eV/atom)
1,-0.1173,-0.527,0.001
2,-0.1509,-0.423,0.298
3,-0.1440,-0.235,0.486
4,-0.1164,-0.501,0.026